[1]
The following is a DFT calculation (PBE) of a relaxed CaIn2Ir crystal.

a = 5.907 Å, b = 9.619 Å, c = 3.182 Å
α = 90.00°, β = 107.92°, γ = 90.00°
Space group C2/m (No. 12)
Inequivalent atoms, fractional coordinates:
Ca  0.000  0.000  0.000 [2 per cell]
In  0.250  0.250  0.500 [4 per cell]
Ir  0.000  0.500  0.000 [2 per cell]

Summary:
The value obtained for the calculated total energy is -32.22 eV/cell. The formation energy comes out at 0.057 eV/atom. As for the density of states at the Fermi level: 1.54 states/eV/f.u. The calculation puts the spin magnetization at 0.0 μB/f.u.

[2]
The following is a DFT calculation (PBE) of a relaxed CaIn2Ir crystal.

a = 16.029 Å, b = 7.942 Å, c = 5.754 Å
α = 90.00°, β = 90.00°, γ = 90.00°
Space group Pnma (No. 62)
Inequivalent atoms, fractional coordinates:
Ca  0.103  0.250  0.248 [4 per cell]
Ca  0.138  0.750  0.461 [4 per cell]
In  0.039  0.053  0.751 [8 per cell]
In  0.212  0.550  0.968 [8 per cell]
Ir  0.070  0.750  0.979 [4 per cell]
Ir  0.185  0.250  0.735 [4 per cell]

Summary:
The value obtained for the calculated total energy is -144.89 eV/cell. The formation energy comes out at -0.443 eV/atom. As for the density of states at the Fermi level: 1.42 states/eV/f.u. The calculation puts the spin magnetization at 0.0 μB/f.u.

[3]
The following is a DFT calculation (PBE) of a relaxed Ca2In8Ir crystal.

a = 4.712 Å, b = 4.712 Å, c = 12.297 Å
α = 90.00°, β = 90.00°, γ = 90.00°
Space group P4/mmm (No. 123)
Inequivalent atoms, fractional coordinates:
Ca  0.000  0.000  0.194 [2 per cell]
In  0.000  0.500  0.000 [2 per cell]
In  0.000  0.500  0.378 [4 per cell]
In  0.500  0.500  0.191 [2 per cell]
Ir  0.000  0.000  0.500 [1 per cell]

Summary:
The value obtained for the calculated total energy is -38.18 eV/cell. The formation energy comes out at -0.310 eV/atom. As for the density of states at the Fermi level: 4.27 states/eV/f.u. The calculation puts the spin magnetization at 0.0 μB/f.u.

[4]
The following is a DFT calculation (PBE) of a relaxed CaIn4Ir2 crystal.

a = 18.333 Å, b = 4.506 Å, c = 7.372 Å
α = 90.00°, β = 90.00°, γ = 90.00°
Space group Pnma (No. 62)
Inequivalent atoms, fractional coordinates:
Ca  0.144  0.250  0.048 [4 per cell]
In  0.033  0.750  0.866 [4 per cell]
In  0.069  0.250  0.497 [4 per cell]
In  0.186  0.750  0.342 [4 per cell]
In  0.192  0.750  0.756 [4 per cell]
Ir  0.041  0.750  0.248 [4 per cell]
Ir  0.218  0.250  0.553 [4 per cell]

Summary:
The value obtained for the calculated total energy is -131.24 eV/cell. The formation energy comes out at -0.305 eV/atom. As for the density of states at the Fermi level: 3.53 states/eV/f.u. The calculation puts the spin magnetization at 0.0 μB/f.u.

[5]
The following is a DFT calculation (PBE) of a relaxed CaIn2Ir crystal.

a = 3.328 Å, b = 3.328 Å, c = 7.943 Å
α = 90.00°, β = 90.00°, γ = 90.00°
Space group P4/mmm (No. 123)
Inequivalent atoms, fractional coordinates:
Ca  0.000  0.000  0.000 [1 per cell]
In  0.500  0.500  0.298 [2 per cell]
Ir  0.000  0.000  0.500 [1 per cell]

Summary:
The value obtained for the calculated total energy is -17.21 eV/cell. The formation energy comes out at -0.217 eV/atom. As for the density of states at the Fermi level: 2.57 states/eV/f.u. The calculation puts the spin magnetization at 0.3 μB/f.u.

[6]
The following is a DFT calculation (PBE) of a relaxed CaIn2Ir crystal.

a = 4.312 Å, b = 4.312 Å, c = 4.571 Å
α = 90.00°, β = 90.00°, γ = 90.00°
Space group P4/mmm (No. 123)
Inequivalent atoms, fractional coordinates:
Ca  0.000  0.000  0.000 [1 per cell]
In  0.000  0.500  0.500 [2 per cell]
Ir  0.500  0.500  0.000 [1 per cell]

Summary:
The value obtained for the calculated total energy is -16.83 eV/cell. The formation energy comes out at -0.122 eV/atom. As for the density of states at the Fermi level: 2.45 states/eV/f.u. The calculation puts the spin magnetization at 0.0 μB/f.u.

[7]
The following is a DFT calculation (PBE) of a relaxed CaIn2Ir crystal.

a = 6.882 Å, b = 6.882 Å, c = 6.882 Å
α = 90.00°, β = 90.00°, γ = 90.00°
Space group Fm-3m (No. 225)
Inequivalent atoms, fractional coordinates:
Ca  0.000  0.000  0.000 [4 per cell]
In  0.250  0.250  0.250 [8 per cell]
Ir  0.000  0.000  0.500 [4 per cell]

Summary:
The value obtained for the calculated total energy is -69.48 eV/cell. The formation energy comes out at -0.258 eV/atom. As for the density of states at the Fermi level: 1.54 states/eV/f.u. The calculation puts the spin magnetization at 0.0 μB/f.u.

[8]
The following is a DFT calculation (PBE) of a relaxed CaIn4Ir crystal.

a = 8.322 Å, b = 8.322 Å, c = 8.322 Å
α = 90.00°, β = 90.00°, γ = 90.00°
Space group F-43m (No. 216)
Inequivalent atoms, fractional coordinates:
Ca  0.000  0.000  0.000 [4 per cell]
In  0.124  0.124  0.624 [16 per cell]
Ir  0.250  0.250  0.250 [4 per cell]

Summary:
The value obtained for the calculated total energy is -80.91 eV/cell. The formation energy comes out at 0.265 eV/atom. As for the density of states at the Fermi level: 3.23 states/eV/f.u. The calculation puts the spin magnetization at 0.0 μB/f.u.

[9]
The following is a DFT calculation (PBE) of a relaxed CaIn4Ir crystal.

a = 8.797 Å, b = 4.286 Å, c = 7.537 Å
α = 90.00°, β = 90.00°, γ = 90.00°
Space group Pmma (No. 51)
Inequivalent atoms, fractional coordinates:
Ca  0.250  0.000  0.098 [2 per cell]
In  0.000  0.000  0.500 [2 per cell]
In  0.065  0.500  0.815 [4 per cell]
In  0.250  0.500  0.431 [2 per cell]
Ir  0.250  0.000  0.694 [2 per cell]

Summary:
The value obtained for the calculated total energy is -47.69 eV/cell. The formation energy comes out at -0.338 eV/atom. As for the density of states at the Fermi level: 1.72 states/eV/f.u. The calculation puts the spin magnetization at 0.0 μB/f.u.

[10]
The following is a DFT calculation (PBE) of a relaxed CaIn2Ir crystal.

a = 4.314 Å, b = 4.314 Å, c = 20.487 Å
α = 90.00°, β = 90.00°, γ = 90.00°
Space group I-42d (No. 122)
Inequivalent atoms, fractional coordinates:
Ca  0.000  0.000  0.000 [4 per cell]
In  0.220  0.250  0.625 [8 per cell]
Ir  0.000  0.000  0.500 [4 per cell]

Summary:
The value obtained for the calculated total energy is -64.16 eV/cell. The formation energy comes out at 0.075 eV/atom. As for the density of states at the Fermi level: 2.63 states/eV/f.u. The calculation puts the spin magnetization at 0.0 μB/f.u.

[11]
The following is a DFT calculation (PBE) of a relaxed CaIn2Ir crystal.

a = 4.473 Å, b = 4.473 Å, c = 8.515 Å
α = 90.00°, β = 90.00°, γ = 90.00°
Space group I-4m2 (No. 119)
Inequivalent atoms, fractional coordinates:
Ca  0.000  0.000  0.000 [2 per cell]
In  0.000  0.000  0.500 [2 per cell]
In  0.000  0.500  0.750 [2 per cell]
Ir  0.000  0.500  0.250 [2 per cell]

Summary:
The value obtained for the calculated total energy is -33.52 eV/cell. The formation energy comes out at -0.105 eV/atom. As for the density of states at the Fermi level: 2.07 states/eV/f.u. The calculation puts the spin magnetization at 0.0 μB/f.u.

[12]
The following is a DFT calculation (PBE) of a relaxed CaIn2Ir crystal.

a = 3.501 Å, b = 4.622 Å, c = 5.854 Å
α = 90.00°, β = 107.26°, γ = 90.00°
Space group Pm (No. 6)
Inequivalent atoms, fractional coordinates:
Ca  0.000  0.000  0.000 [1 per cell]
In  0.275  0.000  0.547 [1 per cell]
In  0.668  0.500  0.333 [1 per cell]
Ir  0.402  0.500  0.805 [1 per cell]

Summary:
The value obtained for the calculated total energy is -16.78 eV/cell. The formation energy comes out at -0.109 eV/atom. As for the density of states at the Fermi level: 2.61 states/eV/f.u. The calculation puts the spin magnetization at 0.0 μB/f.u.